<1>
# Tb8GaHg2, relaxed, DFT PBE
# - Density: 9338 kg/m3
# - N(E_F): 0.93 states/eV per atom
# - Size of the total moment: 0.0 μB per formula unit
data_Tb8GaHg2
_cell_length_a 5.044
_cell_length_b 8.434
_cell_length_c 14.567
_cell_angle_alpha 90.00
_cell_angle_beta 90.00
_cell_angle_gamma 90.00
_symmetry_space_group_name_H-M 'I m m m'
_symmetry_Int_Tables_number 71
_symmetry_space_group_name_Hall '-I 2 2'
loop_
_atom_site_label
_atom_site_type_symbol
_atom_site_fract_x
_atom_site_fract_y
_atom_site_fract_z
Tb1 Tb 0.000 0.000 0.131
Tb2 Tb 0.000 0.225 0.342
Tb3 Tb 0.000 0.316 0.000
Ga1 Ga 0.000 0.500 0.500
Hg1 Hg 0.000 0.500 0.199

<2>
# Tb8GaHg2, relaxed, DFT PBE
# - Density: 9192 kg/m3
# - N(E_F): 0.87 states/eV per atom
# - Size of the total moment: 0.0 μB per formula unit
data_Tb8GaHg2
_cell_length_a 18.148
_cell_length_b 5.201
_cell_length_c 6.960
_cell_angle_alpha 90.00
_cell_angle_beta 106.63
_cell_angle_gamma 90.00
_symmetry_space_group_name_H-M 'C 1 2/m 1'
_symmetry_Int_Tables_number 12
loop_
_symmetry_equiv_pos_as_xyz
'x,y,z'
'-x,-y,-z'
'-x,y,-z'
'x,-y,z'
'x+1/2,y+1/2,z'
'-x+1/2,-y+1/2,-z'
'-x+1/2,y+1/2,-z'
'x+1/2,-y+1/2,z'
loop_
_atom_site_label
_atom_site_type_symbol
_atom_site_fract_x
_atom_site_fract_y
_atom_site_fract_z
Tb1 Tb 0.021 0.000 0.273
Tb2 Tb 0.090 0.500 0.955
Tb3 Tb 0.163 0.500 0.474
Tb4 Tb 0.199 0.000 0.814
Ga1 Ga 0.000 0.500 0.500
Hg1 Hg 0.182 0.000 0.225

It turns out <2> is the most stable, with the second structure 70 meV per atom higher.